{
  "formula": "AcSn3Pt2",
  "functional": "PBE",
  "state": "optimized geometry",
  "lattice_angstrom": [[4.422, 0.000, 0.000], [-2.211, 8.251, 0.163], [0.000, -3.630, 8.115]],
  "species": ["Ac", "Ac", "Sn", "Sn", "Sn", "Sn", "Sn", "Sn", "Pt", "Pt", "Pt", "Pt"],
  "fractional_positions": [[0.866, 0.732, 0.909], [0.134, 0.268, 0.091], [0.328, 0.657, 0.571], [0.996, 0.993, 0.660], [0.650, 0.299, 0.792], [0.350, 0.701, 0.208], [0.004, 0.007, 0.340], [0.672, 0.343, 0.429], [0.493, 0.986, 0.839], [0.507, 0.014, 0.161], [0.832, 0.665, 0.385], [0.168, 0.335, 0.615]],
  "mass_density_g_cm3": 10.8
}



{
  "formula": "Ac4Sn3Pt",
  "functional": "PBE",
  "state": "optimized geometry",
  "lattice_angstrom": [[4.749, 0.000, 0.000], [0.000, 4.667, 0.000], [0.000, 0.000, 12.192]],
  "species": ["Ac", "Ac", "Ac", "Ac", "Sn", "Sn", "Sn", "Pt"],
  "fractional_positions": [[0.500, 0.500, 0.341], [0.000, 0.500, 0.875], [0.000, 0.000, 0.133], [0.500, 0.000, 0.643], [0.000, 0.500, 0.582], [0.000, 0.000, 0.418], [0.500, 0.000, 0.926], [0.500, 0.500, 0.082]],
  "mass_density_g_cm3": 9.0
}



Calculated formation energy in kJ per mole of atoms, matching the order above: -68.1 -74.3
V in Å³ per atom, matching the order above: 24.89 33.77